(1)
Density functional theory data (PBE-GGA) for a relaxed structure of CsTiHg2O4.

a b c (Å): 6.0936 6.0936 8.1066
angles (deg): 90.00 90.00 90.00
Last column: nearest neighbours and their distance in Å.
Space group I-42m (No. 121)
Asymmetric unit:
Cs 0.0000 0.0000 0.0000 [2 per cell]  8 O 3.02-3.32
Ti 0.0000 0.0000 0.5000 [2 per cell]  4 O 1.86
Hg 0.0000 0.5000 0.2500 [4 per cell]  4 O 2.44
O 0.1740 0.1740 0.3648 [8 per cell]  1 Ti 1.86

Results
E_form (uncorrected) ... -1432 meV/atom
Final energy ... -0.3734 Ry per atom


(2)
Density functional theory data (PBE-GGA) for a relaxed structure of Cs2TlHgO.

a b c (Å): 6.1520 6.1520 5.0592
angles (deg): 90.00 90.00 90.00
Last column: nearest neighbours and their distance in Å.
Space group P4/mmm (No. 123)
Asymmetric unit:
Cs 0.0000 0.5000 0.0000 [2 per cell]  2 O 3.08
Tl 0.0000 0.0000 0.5000 [1 per cell]  2 O 2.53
Hg 0.5000 0.5000 0.5000 [1 per cell]  8 Cs 3.98, 4 Tl 4.35
O 0.0000 0.0000 0.0000 [1 per cell]  2 Tl 2.53

Results
E_form (uncorrected) ... -458 meV/atom
Final energy ... -0.1709 Ry per atom


(3)
Density functional theory data (PBE-GGA) for a relaxed structure of CsTmHgO3.

a b c (Å): 7.4467 3.5458 10.3046
angles (deg): 90.00 109.81 90.00
Last column: nearest neighbours and their distance in Å.
Space group P2_1/m (No. 11)
Asymmetric unit:
Cs 0.0011 0.2500 0.2353 [2 per cell]  5 O 2.98-3.13
Tm 0.4724 0.2500 0.1312 [2 per cell]  6 O 2.17-2.39
Hg 0.4420 0.2500 0.5853 [2 per cell]  3 O 2.21-2.38
O 0.3040 0.7500 0.6382 [2 per cell]  2 Hg 2.21, 1 Tm 2.39
O 0.3223 0.7500 0.1904 [2 per cell]  2 Tm 2.29, 1 Hg 2.38
O 0.3567 0.2500 0.9079 [2 per cell]  3 Tm 2.17-2.30

Results
E_form (uncorrected) ... -1798 meV/atom
Final energy ... -0.3833 Ry per atom


(4)
Density functional theory data (PBE-GGA) for a relaxed structure of Cs3U2HgO9.

a b c (Å): 6.3009 6.3009 7.7530
angles (deg): 90.00 90.00 120.00
Last column: nearest neighbours and their distance in Å.
Space group P-3m1 (No. 164)
Asymmetric unit:
Cs 0.0000 0.0000 0.0000 [1 per cell]  12 O 3.10-3.15
Cs 0.3333 0.6667 0.6544 [2 per cell]  12 O 3.16-3.24
U 0.3333 0.6667 0.1602 [2 per cell]  6 O 2.01-2.20
Hg 0.0000 0.0000 0.5000 [1 per cell]  6 O 2.48
O 0.0000 0.5000 0.0000 [3 per cell]  2 U 2.20
O 0.1815 0.3631 0.3076 [6 per cell]  1 U 2.01

Results
E_form (uncorrected) ... -2195 meV/atom
Final energy ... -0.5047 Ry per atom


(5)
Density functional theory data (PBE-GGA) for a relaxed structure of Cs2U3HgO12.

a b c (Å): 8.1017 8.1017 18.9513
angles (deg): 90.00 90.00 120.00
Last column: nearest neighbours and their distance in Å.
Space group R-3m (No. 166, hexagonal axes)
Asymmetric unit:
Cs 0.0000 0.0000 0.1253 [6 per cell]  6 O 3.39-3.57
U 0.0000 0.5000 0.0000 [9 per cell]  6 O 1.95-2.13
Hg 0.0000 0.0000 0.5000 [3 per cell]  6 O 2.33
O 0.0534 0.5267 0.1007 [18 per cell]  1 U 1.95
O 0.0833 0.5416 0.3508 [18 per cell]  2 U 2.13

Results
E_form (uncorrected) ... -2379 meV/atom
Final energy ... -0.5642 Ry per atom


What did the fifth record say?
Density functional theory data (PBE-GGA) for a relaxed structure of Cs2U3HgO12.

a b c (Å): 8.1017 8.1017 18.9513
angles (deg): 90.00 90.00 120.00
Last column: nearest neighbours and their distance in Å.
Space group R-3m (No. 166, hexagonal axes)
Asymmetric unit:
Cs 0.0000 0.0000 0.1253 [6 per cell]  6 O 3.39-3.57
U 0.0000 0.5000 0.0000 [9 per cell]  6 O 1.95-2.13
Hg 0.0000 0.0000 0.5000 [3 per cell]  6 O 2.33
O 0.0534 0.5267 0.1007 [18 per cell]  1 U 1.95
O 0.0833 0.5416 0.3508 [18 per cell]  2 U 2.13

Results
E_form (uncorrected) ... -2379 meV/atom
Final energy ... -0.5642 Ry per atom


The lowest final energy belongs to which entry?
Cs2U3HgO12